# 1
LiZn4Au4 (PBE, relaxed); energy of formation from the pure elements = -0.032 eV/atom; crystal system = tetragonal
1.0
-3.760 -4.577 -1.728
4.328 -1.496 4.136
-2.627 4.568 3.211
Au Zn Li
4 4 1
direct
0.000 0.333 0.333
0.500 0.500 0.000
0.000 0.667 0.667
0.500 0.000 0.500
0.000 0.593 0.059
0.465 0.407 0.407
0.000 0.059 0.593
0.535 0.941 0.941
0.000 0.000 0.000

=====

# 2
Li3Zn2Au2 (PBE, relaxed); energy of formation from the pure elements = -0.428 eV/atom; crystal system = monoclinic
1.0
-3.687 -0.448 -2.376
0.765 -2.629 3.456
-0.719 5.316 4.330
Li Zn Au
3 2 2
direct
0.289 0.144 0.433
0.711 0.856 0.567
0.000 0.000 0.000
0.432 0.716 0.148
0.568 0.284 0.852
0.848 0.425 0.273
0.152 0.575 0.727

=====

# 3
LiZnAu (PBE, relaxed); energy of formation from the pure elements = -0.243 eV/atom; crystal system = monoclinic
1.0
4.231 0.055 0.072
-2.018 3.718 -0.072
-2.026 -1.348 3.476
Li Au Zn
1 1 1
direct
0.943 0.472 0.415
0.946 0.972 0.918
0.445 0.222 0.667

=====

# 4
LiZn3Au (PBE, relaxed); energy of formation from the pure elements = -0.281 eV/atom; crystal system = orthorhombic
1.0
3.910 0.000 0.894
0.000 4.017 0.000
-0.122 0.000 9.537
Li Au Zn
2 2 6
direct
0.175 0.250 0.299
0.474 0.750 0.701
0.673 0.750 0.303
0.976 0.250 0.697
0.075 0.750 0.499
0.574 0.250 0.501
0.875 0.750 0.898
0.372 0.250 0.904
0.773 0.250 0.102
0.276 0.750 0.096